Entry 1:
## Y2Tm2Al (PBE-GGA)

Data for a relaxed Y2Tm2Al crystal.

Output
Its total magnetic moment is 0.00 μB/cell. Its crystal system is trigonal. The calculated density is 5.041 g cm⁻³.

Lattice parameters (Å, degrees): 4.915 4.915 9.004 74.16 74.16 60.00
Element x y z (fractional)
1 Y 0.567 0.567 0.300
2 Tm 0.698 0.698 0.905
3 Y 0.433 0.433 0.700
4 Al 0.000 0.000 0.000
5 Tm 0.302 0.302 0.095


Entry 2:
## YTmAl (PBE-GGA)

Data for a relaxed YTmAl crystal.

Output
Its total magnetic moment is 0.65 μB/cell. The distance to the lowest polymorph of the same formula comes out at 122 meV/atom. Its crystal system is tetragonal. The calculated density is 5.769 g cm⁻³.

Lattice parameters (Å, degrees): 4.508 4.508 8.068 89.98 90.02 90.00
Element x y z (fractional)
1 Y 0.750 0.750 0.000
2 Y 0.250 0.250 0.000
3 Al 0.250 0.750 0.268
4 Tm 0.249 0.751 0.642
5 Al 0.750 0.250 0.732
6 Tm 0.751 0.249 0.358


Number 1: DFT total energy -4.64 eV/atom. Number 2: DFT total energy -5.04 eV/atom.